# LiHfZnIn

A relaxed structure of LiHfZnIn (PBE, the Alexandria database).

Geometry as CIF:
```
data_LiHfZnIn
_cell_length_a 3.1153
_cell_length_b 3.1153
_cell_length_c 7.5512
_cell_angle_alpha 90.00
_cell_angle_beta 90.00
_cell_angle_gamma 90.00
_symmetry_space_group_name_H-M 'P 4 m m'
_symmetry_Int_Tables_number 99
loop_
_symmetry_equiv_pos_as_xyz
'x,y,z'
'-y,x,z'
'-x,-y,z'
'y,-x,z'
'-x,y,z'
'y,x,z'
'x,-y,z'
'-y,-x,z'
loop_
_atom_site_label
_atom_site_type_symbol
_atom_site_fract_x
_atom_site_fract_y
_atom_site_fract_z
Li1 Li 0.0000 0.0000 0.0000
Hf1 Hf 0.0000 0.0000 0.5495
Zn1 Zn 0.5000 0.5000 0.7959
In1 In 0.5000 0.5000 0.2496
```

Values from the calculation:
ΔE_f	-19.3	kJ/mol of atoms
DFT total energy	-16.7	eV per formula unit
total moment	0.00	μB per atom